Entry from the Alexandria database: a geometry-optimized ScAl2Au2 structure (PBE-GGA).

* formation energy from the elements: -416 meV per atom
* raw total energy: -4.490 eV/atom
* magnetic moment: 0.123 μB per atom

a b c (Å): 7.5221 7.5221 3.2268
angles (deg): 90.00 90.00 90.00
Closest atoms and distances in Å follow each position.
Atoms (fractional coordinates):
Sc 0.0000 0.0000 0.0000  4 Au 2.93, 2 Sc 3.23, 8 Al 3.24
Sc 0.5000 0.5000 0.0000  4 Au 2.93, 2 Sc 3.23, 8 Al 3.24
Au 0.3657 0.8657 0.0000  6 Al 2.67-2.79, 1 Au 2.86, 2 Sc 2.93
Au 0.8657 0.6343 0.0000  6 Al 2.67-2.79, 1 Au 2.86, 2 Sc 2.93
Au 0.6343 0.1343 0.0000  6 Al 2.67-2.79, 1 Au 2.86, 2 Sc 2.93
Au 0.1343 0.3657 0.0000  6 Al 2.67-2.79, 1 Au 2.86, 2 Sc 2.93
Al 0.1662 0.6662 0.5000  6 Au 2.67-2.79
Al 0.6662 0.8338 0.5000  6 Au 2.67-2.79
Al 0.8338 0.3338 0.5000  6 Au 2.67-2.79
Al 0.3338 0.1662 0.5000  6 Au 2.67-2.79